U2Si5Ir3 | PBE | optimized geometry

The value obtained for the density of states at the Fermi level is 53.741 states/eV per cell. The calculation puts the calculated density at 11.9 Mg/m³. As for the final energy: -8.3393 eV per atom.

It has space group Ibam (No. 72), with a = 10.036 Å, b = 11.337 Å, c = 5.864 Å, α = 90.00°, β = 90.00° and γ = 90.00°. The inequivalent atoms are U at (0.229, 0.132, 0.000), Si at (0.000, 0.000, 0.250), Si at (0.000, 0.274, 0.250), Si at (0.153, 0.392, 0.000), Ir at (0.000, 0.500, 0.250) and Ir at (0.116, 0.140, 0.500).

***

USiIr2 | PBE | optimized geometry

The value obtained for the density of states at the Fermi level is 8.673 states/eV per cell. The calculation puts the calculated density at 15.6 Mg/m³. As for the final energy: -9.2135 eV per atom.

It has space group Pmmn (No. 59, origin choice 2), with a = 4.202 Å, b = 5.727 Å, c = 5.766 Å, α = 90.00°, β = 90.00° and γ = 90.00°. The inequivalent atoms are U at (0.250, 0.250, 0.110), Si at (0.250, 0.750, 0.318) and Ir at (0.250, 0.006, 0.673).

***

USi2Ir | PBE | optimized geometry

The value obtained for the density of states at the Fermi level is 24.919 states/eV per cell. The calculation puts the calculated density at 11.8 Mg/m³. As for the final energy: -8.3873 eV per atom.

It has space group Pnma (No. 62), with a = 6.834 Å, b = 4.053 Å, c = 9.851 Å, α = 90.00°, β = 90.00° and γ = 90.00°. The inequivalent atoms are U at (0.149, 0.250, 0.127), Si at (0.145, 0.250, 0.821), Si at (0.220, 0.250, 0.421) and Ir at (0.010, 0.750, 0.391).

***

USiIr2 | PBE | optimized geometry

The value obtained for the density of states at the Fermi level is 10.514 states/eV per cell. The calculation puts the calculated density at 15.0 Mg/m³. As for the final energy: -9.2385 eV per atom.

It has space group P4/nmm (No. 129, origin choice 2), with a = 3.912 Å, b = 3.912 Å, c = 9.396 Å, α = 90.00°, β = 90.00° and γ = 90.00°. The inequivalent atoms are U at (0.250, 0.250, 0.210), Si at (0.250, 0.250, 0.644), Ir at (0.250, 0.250, 0.897) and Ir at (0.250, 0.750, 0.500).